Compound: Li5AgAu2
Source: the Alexandria database
Functional: GGA-PBE
Structure: optimized geometry

Summary:
- ΔH_f (0 K) (eV/atom) = -0.37
- relative energy among the computed polymorphs (eV per formula unit) = 0.000

abc: 4.5723 4.5723 12.2054
angles: 90.00 90.00 90.00
Atoms (fractional coordinates):
Li 0.0000 0.0000 0.0000
Li 0.0000 0.5000 0.1340
Li 0.0000 0.5000 0.3660
Li 0.0000 0.5000 0.6340
Li 0.0000 0.5000 0.8660
Li 0.5000 0.0000 0.1340
Li 0.5000 0.0000 0.3660
Li 0.5000 0.0000 0.6340
Li 0.5000 0.0000 0.8660
Li 0.5000 0.5000 0.5000
Ag 0.0000 0.0000 0.5000
Ag 0.5000 0.5000 0.0000
Au 0.0000 0.0000 0.2509
Au 0.0000 0.0000 0.7491
Au 0.5000 0.5000 0.2491
Au 0.5000 0.5000 0.7509


Compound: NdY2Tl9
Source: the Alexandria database
Functional: GGA-PBE
Structure: optimized geometry

Summary:
- ΔH_f (0 K) (eV/atom) = -0.27

abc: 4.7951 4.7951 14.3786
angles: 90.00 90.00 90.00
Atoms (fractional coordinates):
Nd 0.0000 0.0000 0.0000
Y 0.0000 0.0000 0.3346
Y 0.0000 0.0000 0.6654
Tl 0.0000 0.5000 0.1695
Tl 0.0000 0.5000 0.5000
Tl 0.0000 0.5000 0.8305
Tl 0.5000 0.0000 0.1695
Tl 0.5000 0.0000 0.5000
Tl 0.5000 0.0000 0.8305
Tl 0.5000 0.5000 0.0000
Tl 0.5000 0.5000 0.3342
Tl 0.5000 0.5000 0.6658